DFT (PBE+U) results for an optimized crystal structure of AlCd2WO6.

The calculation puts the final energy at -6.11 eV per atom. Its density of states at the Fermi level is 0.000 states/eV/cell. Its magnetization is 2.00 μB/cell.

Structure (extended XYZ):
```
20
Lattice="5.375 0.000 -0.002 0.000 5.436 0.000 0.045 0.000 7.751" Properties=species:S:1:pos:R:3 pbc="T T T"
Cd 2.756 2.904 5.826
Cd 5.373 0.186 5.797
Cd 2.664 2.532 1.923
Cd 0.046 5.250 1.951
O 1.640 3.888 0.394
O 3.181 0.171 1.879
O 4.321 4.310 7.419
O 1.098 1.126 0.329
O 4.350 4.266 4.268
O 3.780 1.548 7.355
O 4.904 2.889 1.993
O 3.808 1.592 4.203
O 1.070 1.170 3.481
O 0.516 2.547 5.756
O 2.239 5.265 5.869
O 1.611 3.844 3.545
Al 2.687 0.000 -0.001
Al 0.022 2.718 3.875
W 0.000 2.718 0.000
W 2.710 0.000 3.874
```